Here is an optimized crystal structure of Ac2Zn5Ge3 from Alexandria via LeMat-Bulk. Energies are from PBE-GGA.

extended XYZ file:
```
10
Lattice="4.588 0.000 0.000 0.000 4.588 0.000 0.000 0.000 10.175" Properties=species:S:1:pos:R:3 pbc="T T T"
Ac 0.000 2.294 2.529
Ac 2.294 0.000 7.646
Zn 0.000 0.000 0.000
Zn 0.000 0.000 5.087
Zn 0.000 2.294 8.949
Zn 2.294 0.000 1.226
Zn 2.294 2.294 0.000
Ge 0.000 2.294 6.408
Ge 2.294 0.000 3.767
Ge 2.294 2.294 5.087
```

Calculated volume: 21.4 Å³ per atom
Space-group type: P-4m2 (115)
Energy relative to the lowest polymorph listed for this composition: 0.92 eV per formula unit
Uncorrected energy: -31.98 eV/cell